[1]
DFT (meta-GGA SCAN) results for a PBEsol-optimized structure of Ca2Ru.

CIF file:
```
data_Ca2Ru
_cell_length_a 3.586
_cell_length_b 14.773
_cell_length_c 5.188
_cell_angle_alpha 90.00
_cell_angle_beta 90.00
_cell_angle_gamma 90.00
_symmetry_space_group_name_H-M 'C m c m'
_symmetry_Int_Tables_number 63
_symmetry_space_group_name_Hall '-C 2c 2'
loop_
_atom_site_label
_atom_site_fract_x
_atom_site_fract_y
_atom_site_fract_z
Ca1 0.000 0.060 0.250
Ca2 0.000 0.244 0.750
Ru1 0.000 0.397 0.250
```

Summary:
* formation enthalpy at 0 K: 36 kJ per mole of atoms

[2]
DFT (meta-GGA SCAN) results for a PBEsol-optimized structure of CaRuS2.

CIF file:
```
data_CaRuS2
_cell_length_a 3.7289
_cell_length_b 3.7289
_cell_length_c 23.1949
_cell_angle_alpha 90.00
_cell_angle_beta 90.00
_cell_angle_gamma 120.00
_symmetry_space_group_name_H-M 'R -3 m'
_symmetry_Int_Tables_number 166
_symmetry_space_group_name_Hall '-R 3 2"'
loop_
_atom_site_label
_atom_site_fract_x
_atom_site_fract_y
_atom_site_fract_z
Ca1 0.0000 0.0000 0.0000
Ru1 0.0000 0.0000 0.5000
S1 0.0000 0.0000 0.4049
```

Summary:
* energy relative to the elements, uncorrected: -0.416 eV/atom

[3]
DFT (meta-GGA SCAN) results for a PBEsol-optimized structure of CaSbRu2.

CIF file:
```
data_CaSbRu2
_cell_length_a 3.061
_cell_length_b 4.529
_cell_length_c 10.146
_cell_angle_alpha 90.00
_cell_angle_beta 90.00
_cell_angle_gamma 90.00
_symmetry_space_group_name_H-M 'I m m 2'
_symmetry_Int_Tables_number 44
_symmetry_space_group_name_Hall 'I 2 -2'
loop_
_atom_site_label
_atom_site_fract_x
_atom_site_fract_y
_atom_site_fract_z
Ca1 0.000 0.000 0.000
Sb1 0.000 0.500 0.220
Ru1 0.000 0.000 0.500
Ru2 0.000 0.500 0.782
```

Summary:
* energy relative to the elements, uncorrected: 0.085 eV/atom

[4]
DFT (meta-GGA SCAN) results for a PBEsol-optimized structure of CaSbRu.

CIF file:
```
data_CaSbRu
_cell_length_a 3.333
_cell_length_b 3.333
_cell_length_c 11.266
_cell_angle_alpha 90.00
_cell_angle_beta 90.00
_cell_angle_gamma 90.00
_symmetry_space_group_name_H-M 'I 4 m m'
_symmetry_Int_Tables_number 107
_symmetry_space_group_name_Hall 'I 4 -2'
loop_
_atom_site_label
_atom_site_fract_x
_atom_site_fract_y
_atom_site_fract_z
Ca1 0.000 0.000 0.000
Sb1 0.000 0.000 0.709
Ru1 0.000 0.000 0.317
```

Summary:
* energy relative to the elements, uncorrected: -0.359 eV/atom

[5]
DFT (meta-GGA SCAN) results for a PBEsol-optimized structure of CaSbRu.

CIF file:
```
data_CaSbRu
_cell_length_a 4.5518
_cell_length_b 4.5518
_cell_length_c 3.5158
_cell_angle_alpha 90.00
_cell_angle_beta 90.00
_cell_angle_gamma 120.00
_symmetry_space_group_name_H-M 'P -6 m 2'
_symmetry_Int_Tables_number 187
_symmetry_space_group_name_Hall 'P -6 2'
loop_
_atom_site_label
_atom_site_fract_x
_atom_site_fract_y
_atom_site_fract_z
Ca1 0.0000 0.0000 0.0000
Sb1 0.6667 0.3333 0.5000
Ru1 0.3333 0.6667 0.5000
```

Summary:
* energy relative to the elements, uncorrected: -0.335 eV/atom

[6]
DFT (meta-GGA SCAN) results for a PBEsol-optimized structure of CaSbRu2.

CIF file:
```
data_CaSbRu2
_cell_length_a 3.070
_cell_length_b 4.642
_cell_length_c 5.169
_cell_angle_alpha 90.00
_cell_angle_beta 105.37
_cell_angle_gamma 90.00
_symmetry_space_group_name_H-M 'P 1 m 1'
_symmetry_Int_Tables_number 6
_symmetry_space_group_name_Hall 'P -2y'
loop_
_atom_site_label
_atom_site_fract_x
_atom_site_fract_y
_atom_site_fract_z
Ca1 0.000 0.000 0.000
Sb1 0.400 0.500 0.754
Ru1 0.323 0.000 0.493
Ru2 0.712 0.500 0.323
```

Summary:
* energy relative to the elements, uncorrected: 0.103 eV/atom

[7]
DFT (meta-GGA SCAN) results for a PBEsol-optimized structure of CaSbRu2.

CIF file:
```
data_CaSbRu2
_cell_length_a 3.1133
_cell_length_b 3.1133
_cell_length_c 26.7810
_cell_angle_alpha 90.00
_cell_angle_beta 90.00
_cell_angle_gamma 120.00
_symmetry_space_group_name_H-M 'R 3 m'
_symmetry_Int_Tables_number 160
_symmetry_space_group_name_Hall 'R 3 -2"'
loop_
_atom_site_label
_atom_site_fract_x
_atom_site_fract_y
_atom_site_fract_z
Ca1 0.0000 0.0000 0.0000
Sb1 0.0000 0.0000 0.2293
Ru1 0.0000 0.0000 0.4873
Ru2 0.0000 0.0000 0.7501
```

Summary:
* energy relative to the elements, uncorrected: 0.466 eV/atom

[8]
DFT (meta-GGA SCAN) results for a PBEsol-optimized structure of CaScRu.

CIF file:
```
data_CaScRu
_cell_length_a 3.310
_cell_length_b 3.310
_cell_length_c 11.977
_cell_angle_alpha 90.00
_cell_angle_beta 90.00
_cell_angle_gamma 90.00
_symmetry_space_group_name_H-M 'I 4 m m'
_symmetry_Int_Tables_number 107
_symmetry_space_group_name_Hall 'I 4 -2'
loop_
_atom_site_label
_atom_site_fract_x
_atom_site_fract_y
_atom_site_fract_z
Ca1 0.000 0.000 0.000
Sc1 0.000 0.000 0.739
Ru1 0.000 0.000 0.343
```

Summary:
* formation enthalpy at 0 K: -22 kJ per mole of atoms

[9]
DFT (meta-GGA SCAN) results for a PBEsol-optimized structure of CaScRu2.

CIF file:
```
data_CaScRu2
_cell_length_a 3.221
_cell_length_b 4.893
_cell_length_c 8.615
_cell_angle_alpha 90.00
_cell_angle_beta 90.00
_cell_angle_gamma 90.00
_symmetry_space_group_name_H-M 'C m m m'
_symmetry_Int_Tables_number 65
_symmetry_space_group_name_Hall '-C 2 2'
loop_
_atom_site_label
_atom_site_fract_x
_atom_site_fract_y
_atom_site_fract_z
Ca1 0.000 0.000 0.000
Sc1 0.000 0.000 0.500
Ru1 0.000 0.500 0.266
```

Summary:
* formation enthalpy at 0 K: 9 kJ per mole of atoms

[10]
DFT (meta-GGA SCAN) results for a PBEsol-optimized structure of CaScRu4.

CIF file:
```
data_CaScRu4
_cell_length_a 7.332
_cell_length_b 7.332
_cell_length_c 7.332
_cell_angle_alpha 90.00
_cell_angle_beta 90.00
_cell_angle_gamma 90.00
_symmetry_space_group_name_H-M 'F -4 3 m'
_symmetry_Int_Tables_number 216
_symmetry_space_group_name_Hall 'F -4 2 3'
loop_
_atom_site_label
_atom_site_fract_x
_atom_site_fract_y
_atom_site_fract_z
Ca1 0.000 0.000 0.000
Sc1 0.250 0.250 0.750
Ru1 0.125 0.125 0.375
```

Summary:
* formation enthalpy at 0 K: -13 kJ per mole of atoms

[11]
DFT (meta-GGA SCAN) results for a PBEsol-optimized structure of Ca2ScRu.

CIF file:
```
data_Ca2ScRu
_cell_length_a 3.254
_cell_length_b 4.165
_cell_length_c 16.230
_cell_angle_alpha 90.00
_cell_angle_beta 90.00
_cell_angle_gamma 90.00
_symmetry_space_group_name_H-M 'I m m m'
_symmetry_Int_Tables_number 71
_symmetry_space_group_name_Hall '-I 2 2'
loop_
_atom_site_label
_atom_site_fract_x
_atom_site_fract_y
_atom_site_fract_z
Ca1 0.000 0.000 0.156
Sc1 0.000 0.500 0.000
Ru1 0.000 0.500 0.500
```

Summary:
* relative energy among the computed polymorphs: 0.000 eV/f.u.
* formation enthalpy at 0 K: -3 kJ per mole of atoms

[12]
DFT (meta-GGA SCAN) results for a PBEsol-optimized structure of Ca2ScRu.

CIF file:
```
data_Ca2ScRu
_cell_length_a 4.227
_cell_length_b 4.227
_cell_length_c 4.947
_cell_angle_alpha 90.00
_cell_angle_beta 90.00
_cell_angle_gamma 90.00
_symmetry_space_group_name_H-M 'P 4/m m m'
_symmetry_Int_Tables_number 123
_symmetry_space_group_name_Hall '-P 4 2'
loop_
_atom_site_label
_atom_site_fract_x
_atom_site_fract_y
_atom_site_fract_z
Ca1 0.000 0.500 0.000
Sc1 0.000 0.000 0.500
Ru1 0.500 0.500 0.500
```

Summary:
* relative energy among the computed polymorphs: 1.369 eV/f.u.
* formation enthalpy at 0 K: 30 kJ per mole of atoms

[13]
DFT (meta-GGA SCAN) results for a PBEsol-optimized structure of Ca2ScRu.

CIF file:
```
data_Ca2ScRu
_cell_length_a 7.566
_cell_length_b 4.354
_cell_length_c 7.127
_cell_angle_alpha 90.00
_cell_angle_beta 110.64
_cell_angle_gamma 90.00
_symmetry_space_group_name_H-M 'C 1 m 1'
_symmetry_Int_Tables_number 8
_symmetry_space_group_name_Hall 'C -2y'
loop_
_atom_site_label
_atom_site_fract_x
_atom_site_fract_y
_atom_site_fract_z
Ca1 0.000 0.000 0.000
Ca2 0.196 0.000 0.591
Sc1 0.265 0.500 0.294
Ru1 0.431 0.000 0.292
```

Summary:
* relative energy among the computed polymorphs: 0.173 eV/f.u.
* formation enthalpy at 0 K: 1 kJ per mole of atoms

[14]
DFT (meta-GGA SCAN) results for a PBEsol-optimized structure of Ca2ScRu.

CIF file:
```
data_Ca2ScRu
_cell_length_a 4.217
_cell_length_b 4.217
_cell_length_c 9.983
_cell_angle_alpha 90.00
_cell_angle_beta 90.00
_cell_angle_gamma 90.00
_symmetry_space_group_name_H-M 'I 4/m m m'
_symmetry_Int_Tables_number 139
_symmetry_space_group_name_Hall '-I 4 2'
loop_
_atom_site_label
_atom_site_fract_x
_atom_site_fract_y
_atom_site_fract_z
Ca1 0.000 0.500 0.250
Sc1 0.000 0.000 0.000
Ru1 0.000 0.000 0.500
```

Summary:
* relative energy among the computed polymorphs: 1.420 eV/f.u.
* formation enthalpy at 0 K: 31 kJ per mole of atoms

[15]
DFT (meta-GGA SCAN) results for a PBEsol-optimized structure of CaScRu2.

CIF file:
```
data_CaScRu2
_cell_length_a 3.117
_cell_length_b 4.597
_cell_length_c 9.747
_cell_angle_alpha 90.00
_cell_angle_beta 90.00
_cell_angle_gamma 90.00
_symmetry_space_group_name_H-M 'I m m 2'
_symmetry_Int_Tables_number 44
_symmetry_space_group_name_Hall 'I 2 -2'
loop_
_atom_site_label
_atom_site_fract_x
_atom_site_fract_y
_atom_site_fract_z
Ca1 0.000 0.000 0.000
Sc1 0.000 0.500 0.221
Ru1 0.000 0.000 0.474
Ru2 0.000 0.500 0.761
```

Summary:
* formation enthalpy at 0 K: -2 kJ per mole of atoms

[16]
DFT (meta-GGA SCAN) results for a PBEsol-optimized structure of Ca2ScRu.

CIF file:
```
data_Ca2ScRu
_cell_length_a 5.742
_cell_length_b 9.328
_cell_length_c 3.366
_cell_angle_alpha 90.00
_cell_angle_beta 90.00
_cell_angle_gamma 90.00
_symmetry_space_group_name_H-M 'C m m m'
_symmetry_Int_Tables_number 65
_symmetry_space_group_name_Hall '-C 2 2'
loop_
_atom_site_label
_atom_site_fract_x
_atom_site_fract_y
_atom_site_fract_z
Ca1 0.250 0.250 0.000
Sc1 0.000 0.000 0.500
Ru1 0.000 0.500 0.500
```

Summary:
* relative energy among the computed polymorphs: 2.095 eV/f.u.
* formation enthalpy at 0 K: 47 kJ per mole of atoms

[17]
DFT (meta-GGA SCAN) results for a PBEsol-optimized structure of CaSc2TiRu.

CIF file:
```
data_CaSc2TiRu
_cell_length_a 5.077
_cell_length_b 5.077
_cell_length_c 4.481
_cell_angle_alpha 90.00
_cell_angle_beta 90.00
_cell_angle_gamma 90.00
_symmetry_space_group_name_H-M 'P 4/m m m'
_symmetry_Int_Tables_number 123
_symmetry_space_group_name_Hall '-P 4 2'
loop_
_atom_site_label
_atom_site_fract_x
_atom_site_fract_y
_atom_site_fract_z
Ca1 0.000 0.000 0.000
Sc1 0.000 0.500 0.500
Ti1 0.500 0.500 0.500
Ru1 0.500 0.500 0.000
```

Summary:
* formation enthalpy at 0 K: 36 kJ per mole of atoms

[18]
DFT (meta-GGA SCAN) results for a PBEsol-optimized structure of CaRuSe4.

CIF file:
```
data_CaRuSe4
_cell_length_a 7.947
_cell_length_b 7.947
_cell_length_c 7.947
_cell_angle_alpha 90.00
_cell_angle_beta 90.00
_cell_angle_gamma 90.00
_symmetry_space_group_name_H-M 'F -4 3 m'
_symmetry_Int_Tables_number 216
_symmetry_space_group_name_Hall 'F -4 2 3'
loop_
_atom_site_label
_atom_site_fract_x
_atom_site_fract_y
_atom_site_fract_z
Ca1 0.000 0.000 0.000
Ru1 0.250 0.250 0.250
Se1 0.124 0.124 0.624
```

Summary:
* energy relative to the elements, uncorrected: 0.445 eV/atom

[19]
DFT (meta-GGA SCAN) results for a PBEsol-optimized structure of Ca4RuSe.

CIF file:
```
data_Ca4RuSe
_cell_length_a 8.427
_cell_length_b 8.427
_cell_length_c 8.427
_cell_angle_alpha 90.00
_cell_angle_beta 90.00
_cell_angle_gamma 90.00
_symmetry_space_group_name_H-M 'F -4 3 m'
_symmetry_Int_Tables_number 216
_symmetry_space_group_name_Hall 'F -4 2 3'
loop_
_atom_site_label
_atom_site_fract_x
_atom_site_fract_y
_atom_site_fract_z
Ca1 0.124 0.124 0.124
Ru1 0.250 0.250 0.750
Se1 0.000 0.000 0.500
```

Summary:
* energy relative to the elements, uncorrected: 0.603 eV/atom

[20]
DFT (meta-GGA SCAN) results for a PBEsol-optimized structure of Ca2RuSe.

CIF file:
```
data_Ca2RuSe
_cell_length_a 6.689
_cell_length_b 6.689
_cell_length_c 6.689
_cell_angle_alpha 90.00
_cell_angle_beta 90.00
_cell_angle_gamma 90.00
_symmetry_space_group_name_H-M 'F -4 3 m'
_symmetry_Int_Tables_number 216
_symmetry_space_group_name_Hall 'F -4 2 3'
loop_
_atom_site_label
_atom_site_fract_x
_atom_site_fract_y
_atom_site_fract_z
Ca1 0.000 0.000 0.000
Ca2 0.250 0.250 0.250
Ru1 0.250 0.250 0.750
Se1 0.000 0.000 0.500
```

Summary:
* energy relative to the elements, uncorrected: -0.119 eV/atom